DFT (PBE) results for a relaxed NaYW3 crystal.

Output
ρ = 10.696 g cm⁻³
calculated formation energy = 2.59 eV/atom

a b c (Å): 4.688 4.688 4.688
angles (deg): 90.00 90.00 90.00
Sites, in units of the cell vectors:
Y  0.500  0.500  0.500
Na  0.000  0.000  0.000
W  0.000  0.000  0.500
W  0.500  0.000  0.000
W  0.000  0.500  0.000